! LaHoIn4Pd2 (GGA-PBE, relaxed); values from VASP
! Symmetry: Amm2, No. 38
! Crystal system: orthorhombic
! Final energy, Ha/atom: -0.1655
&SYSTEM
  ibrav = 0, nat = 8, ntyp = 4
/
ATOMIC_SPECIES
In 114.82 In.upf
Pd 106.42 Pd.upf
La 138.91 La.upf
Ho 164.93 Ho.upf
CELL_PARAMETERS angstrom
-0.420 0.059 -7.646
-3.479 -4.611 0.155
-5.733 -0.658 0.310
ATOMIC_POSITIONS crystal
In 0.805 0.360 0.360
In 0.295 0.638 0.638
In 0.195 0.360 0.360
In 0.705 0.638 0.638
Pd 0.500 0.212 0.212
Pd 0.000 0.791 0.791
La 0.500 0.928 0.928
Ho 0.000 0.074 0.074



! Zr3FeP (GGA-PBE, relaxed); values from VASP
! Symmetry: Pm-3m, No. 221
! Crystal system: cubic
! Offset from the most stable computed form, meV/atom: 601.5
! Final energy, Ha/atom: -0.2880
&SYSTEM
  ibrav = 0, nat = 5, ntyp = 3
/
ATOMIC_SPECIES
Zr 91.22 Zr.upf
P 30.97 P.upf
Fe 55.84 Fe.upf
CELL_PARAMETERS angstrom
-4.345 1.089 1.730
1.191 -1.955 4.221
1.662 4.248 1.499
ATOMIC_POSITIONS crystal
Zr 0.500 0.000 0.500
Zr 0.000 0.500 0.500
Zr 0.500 0.500 0.000
P 0.500 0.500 0.500
Fe 0.000 0.000 0.000



! K2PrY2Mg3Cd (GGA-PBE, relaxed); values from VASP
! Symmetry: Amm2, No. 38
! Crystal system: orthorhombic
! Final energy, Ha/atom: -0.0902
&SYSTEM
  ibrav = 0, nat = 9, ntyp = 5
/
ATOMIC_SPECIES
K 39.10 K.upf
Cd 112.41 Cd.upf
Mg 24.30 Mg.upf
Pr 140.91 Pr.upf
Y 88.91 Y.upf
CELL_PARAMETERS angstrom
4.877 0.000 0.000
0.000 7.166 4.130
0.000 -7.166 4.130
ATOMIC_POSITIONS crystal
K 0.500 0.338 0.671
K 0.500 0.671 0.338
Cd 0.000 0.990 0.990
Mg 0.500 0.997 0.214
Mg 0.500 0.214 0.997
Mg 0.500 0.783 0.783
Pr 0.000 0.372 0.372
Y 0.000 0.628 0.007
Y 0.000 0.007 0.628



! CsCuReTeSe2 (GGA-PBE, relaxed); values from VASP
! Symmetry: Cmcm, No. 63
! Crystal system: orthorhombic
! Final energy, Ha/atom: -0.1746
&SYSTEM
  ibrav = 0, nat = 12, ntyp = 5
/
ATOMIC_SPECIES
Re 186.21 Re.upf
Te 127.60 Te.upf
Se 78.96 Se.upf
Cs 132.91 Cs.upf
Cu 63.55 Cu.upf
CELL_PARAMETERS angstrom
1.921 -8.462 0.000
1.921 8.462 0.000
0.000 0.000 10.164
ATOMIC_POSITIONS crystal
Re 0.000 0.000 0.000
Re 0.000 0.000 0.500
Te 0.929 0.071 0.250
Te 0.071 0.929 0.750
Se 0.600 0.400 0.044
Se 0.400 0.600 0.956
Se 0.400 0.600 0.544
Se 0.600 0.400 0.456
Cs 0.228 0.772 0.250
Cs 0.772 0.228 0.750
Cu 0.468 0.532 0.750
Cu 0.532 0.468 0.250



- Look up the final energy of the fourth one.
  -0.1746 Ha/atom



Copy entry 3 word for word.
! K2PrY2Mg3Cd (GGA-PBE, relaxed); values from VASP
! Symmetry: Amm2, No. 38
! Crystal system: orthorhombic
! Final energy, Ha/atom: -0.0902
&SYSTEM
  ibrav = 0, nat = 9, ntyp = 5
/
ATOMIC_SPECIES
K 39.10 K.upf
Cd 112.41 Cd.upf
Mg 24.30 Mg.upf
Pr 140.91 Pr.upf
Y 88.91 Y.upf
CELL_PARAMETERS angstrom
4.877 0.000 0.000
0.000 7.166 4.130
0.000 -7.166 4.130
ATOMIC_POSITIONS crystal
K 0.500 0.338 0.671
K 0.500 0.671 0.338
Cd 0.000 0.990 0.990
Mg 0.500 0.997 0.214
Mg 0.500 0.214 0.997
Mg 0.500 0.783 0.783
Pr 0.000 0.372 0.372
Y 0.000 0.628 0.007
Y 0.000 0.007 0.628



- Among the records above, which one has the highest final energy?
  K2PrY2Mg3Cd



- Which of these has the lowest final energy?
  Zr3FeP